The following is a DFT calculation (PBE) of crystalline YOsNO at its relaxed geometry.

distance to the lowest polymorph of the same formula: 0 meV per atom

Cell: 4.6833 5.5501 8.4589 Å, 90.00 90.01 90.00°
Closest atoms and distances in Å follow each position.
Atoms (fractional coordinates):
N  0.2544  0.8699  0.1510  3 Os 1.99-2.05
Y  0.5761  0.0232  0.3425  3 O 2.19-2.35, 1 N 2.37
O  0.5542  0.4030  0.4111  3 Y 2.19-2.35
Os  0.9126  0.3921  0.9884  3 N 1.99-2.05
Os  0.9130  0.8917  0.0116  3 N 1.99-2.05
O  0.5542  0.9031  0.5889  3 Y 2.19-2.35
N  0.2545  0.3700  0.8489  3 Os 1.99-2.05
Y  0.0761  0.4768  0.3425  3 O 2.19-2.35, 1 N 2.37
Y  0.5761  0.5232  0.6574  3 O 2.19-2.35, 1 N 2.37
O  0.0543  0.5970  0.5889  3 Y 2.19-2.35
Y  0.0761  0.9768  0.6574  3 O 2.19-2.35, 1 N 2.37
O  0.0542  0.0970  0.4111  3 Y 2.19-2.35
Os  0.4128  0.6081  0.0116  3 N 1.99-2.05
N  0.7545  0.1300  0.8489  3 Os 1.99-2.05
Os  0.4126  0.1080  0.9885  3 N 1.99-2.05
N  0.7544  0.6301  0.1511  3 Os 1.99-2.05

The following is a DFT calculation (PBE) of crystalline LaCu2SnSb at its relaxed geometry.

total DFT energy (no corrections): -4.6373 eV per atom

Cell: 4.4890 4.4890 10.7741 Å, 90.00 90.00 90.00°
Closest atoms and distances in Å follow each position.
Atoms (fractional coordinates):
Cu  0.5000  0.0000  0.3659  1 Sb 2.53, 4 Sn 2.67
Sb  0.5000  0.0000  0.1313  5 Cu 2.53-2.65
Sb  0.0000  0.5000  0.8687  5 Cu 2.53-2.65
Sn  0.0000  0.0000  0.5000  4 Cu 2.67
La  0.0000  0.5000  0.2431  4 Sb 3.40, 8 Cu 3.44-3.45, 4 Sn 3.56
Cu  0.0000  0.0000  0.0000  4 Sb 2.65
Cu  0.0000  0.5000  0.6341  1 Sb 2.53, 4 Sn 2.67
La  0.5000  0.0000  0.7569  4 Sb 3.40, 8 Cu 3.44-3.45, 4 Sn 3.56
Cu  0.5000  0.5000  0.0000  4 Sb 2.65
Sn  0.5000  0.5000  0.5000  4 Cu 2.67